No. 1
DFT (GGA-PBEsol) results for crystalline LaZn2 at its relaxed geometry.

The structure belongs to space group Pnma (No. 62); the cell edges are 6.288, 4.698 and 8.802 Å and the angles 90.00°, 90.00° and 90.00°. The inequivalent atoms are La at (0.184, 0.250, 0.079), Zn at (0.020, 0.250, 0.709) and Zn at (0.153, 0.250, 0.411).

Its formation energy from the elements is -0.24 eV per atom. The density of states at the Fermi level comes out at 0.67 states/eV per atom.

No. 2
DFT (GGA-PBEsol) results for crystalline La2Zn at its relaxed geometry.

The structure belongs to space group I4_1/amd (No. 141, origin choice 2); the cell edges are 3.696, 3.696 and 24.984 Å and the angles 90.00°, 90.00° and 90.00°. The inequivalent atoms are La at (0.000, 0.250, 0.305) and Zn at (0.000, 0.250, 0.875).

Its formation energy from the elements is -0.08 eV per atom. The density of states at the Fermi level comes out at 1.05 states/eV per atom.